Material: MgTa2Ru
Method: DFT, PBE
State: optimized geometry

a b c (Å): 3.2999 3.2999 6.3824
angles (deg): 90.00 90.00 90.00
Closest atoms and distances in Å follow each position.
Space group P4/mmm (No. 123)
Unique sites:
Mg1 0.0000 0.0000 0.0000 (multiplicity 1)  8 Ta 2.92, 2 Ru 3.19
Ta1 0.5000 0.5000 0.2762 (multiplicity 2)  4 Ru 2.74, 1 Ta 2.86, 4 Mg 2.92
Ru1 0.0000 0.0000 0.5000 (multiplicity 1)  8 Ta 2.74

Computed properties:
The crystal system is tetragonal. As for the volume: 17.375 Å³/atom. The calculation puts the total magnetic moment at 0.000 μB per atom. The uncorrected energy comes out at -33.93 eV/cell.

=====

Material: Mg2TaRu
Method: DFT, PBE
State: optimized geometry

a b c (Å): 4.5597 4.5597 6.4383
angles (deg): 90.00 90.00 90.00
Closest atoms and distances in Å follow each position.
Space group I-4m2 (No. 119)
Unique sites:
Mg1 0.0000 0.0000 0.0000 (multiplicity 2)  4 Ta 2.79, 4 Mg 2.79
Mg2 0.0000 0.5000 0.2500 (multiplicity 2)  4 Ru 2.79, 4 Mg 2.79
Ta1 0.0000 0.5000 0.7500 (multiplicity 2)  4 Mg 2.79, 4 Ru 2.79
Ru1 0.0000 0.0000 0.5000 (multiplicity 2)  4 Ta 2.79, 4 Mg 2.79

Computed properties:
The crystal system is tetragonal. As for the volume: 16.733 Å³/atom. As for the energy above the most stable polymorph in this dataset: 0.465 eV/f.u. The calculation puts the total magnetic moment at 0.000 μB per atom.

=====

Material: MgTa2Ru
Method: DFT, PBE
State: optimized geometry

a b c (Å): 5.5328 9.1880 2.8132
angles (deg): 90.00 108.66 90.00
Closest atoms and distances in Å follow each position.
Space group C2/m (No. 12)
Unique sites:
Mg1 0.0000 0.0000 0.0000 (multiplicity 2)  2 Ru 2.77, 2 Mg 2.81, 4 Ta 2.81
Ta1 0.2500 0.2500 0.5000 (multiplicity 4)  4 Ta 2.77-2.81, 2 Ru 2.81, 2 Mg 2.81
Ru1 0.0000 0.5000 0.0000 (multiplicity 2)  2 Mg 2.77, 2 Ru 2.81, 4 Ta 2.81

Computed properties:
The crystal system is monoclinic. As for the volume: 16.937 Å³/atom. The calculation puts the total magnetic moment at 0.000 μB per atom. The uncorrected energy comes out at -68.27 eV/cell.